1.
This record from the Alexandria database describes a geometry-optimized TbHo3F structure. The functional is PBE.

Cell lengths 5.017, 5.017, 5.017 Å; angles 90.00, 90.00, 90.00 degrees
Space group Pm-3m (No. 221)
Inequivalent atoms, fractional coordinates:
Tb: 0.000 0.000 0.000 (multiplicity 1)
Ho: 0.000 0.500 0.500 (multiplicity 3)
F: 0.500 0.500 0.500 (multiplicity 1)

Summary:
Formation energy from raw total energies   -0.91 eV per atom
Crystal system   cubic
D(E_F)   5.43 states/eV per cell
E_tot   -4.96 eV per atom

---

2.
This record from the Alexandria database describes a geometry-optimized HoTcF structure. The functional is PBE.

Cell lengths 3.181, 3.181, 9.312 Å; angles 90.00, 90.00, 90.00 degrees
Space group P4/nmm (No. 129, origin choice 2)
Inequivalent atoms, fractional coordinates:
Ho: 0.250 0.250 0.199 (multiplicity 2)
Tc: 0.250 0.250 0.568 (multiplicity 2)
F: 0.250 0.250 0.931 (multiplicity 2)

Summary:
Formation energy from raw total energies   -1.62 eV per atom
Crystal system   tetragonal
D(E_F)   3.99 states/eV per cell
E_tot   -7.23 eV per atom

---

3.
This record from the Alexandria database describes a geometry-optimized Ho2Te2F structure. The functional is PBE.

Cell lengths 4.057, 4.057, 35.561 Å; angles 90.00, 90.00, 90.00 degrees
Space group I4_1/amd (No. 141, origin choice 2)
Inequivalent atoms, fractional coordinates:
Ho: 0.000 0.250 0.091 (multiplicity 8)
Te: 0.000 0.250 0.194 (multiplicity 8)
F: 0.000 0.250 0.875 (multiplicity 4)

Summary:
Formation energy from raw total energies   -1.87 eV per atom
Crystal system   tetragonal
D(E_F)   7.07 states/eV per cell
E_tot   -5.34 eV per atom

---

4.
This record from the Alexandria database describes a geometry-optimized HoTeF2 structure. The functional is PBE.

Cell lengths 3.883, 11.825, 6.671 Å; angles 90.00, 90.00, 90.00 degrees
Space group Cmcm (No. 63)
Inequivalent atoms, fractional coordinates:
Ho: 0.000 0.244 0.250 (multiplicity 4)
Te: 0.000 0.022 0.750 (multiplicity 4)
F: 0.000 0.300 0.570 (multiplicity 8)

Summary:
Formation energy from raw total energies   -2.94 eV per atom
Crystal system   orthorhombic
D(E_F)   3.33 states/eV per cell
E_tot   -5.80 eV per atom

---

5.
This record from the Alexandria database describes a geometry-optimized Ho2TeF structure. The functional is PBE.

Cell lengths 3.9293, 3.9293, 20.5037 Å; angles 90.00, 90.00, 120.00 degrees
Space group R-3m (No. 166, hexagonal axes)
Inequivalent atoms, fractional coordinates:
Ho: 0.0000 0.0000 0.2310 (multiplicity 6)
Te: 0.0000 0.0000 0.0000 (multiplicity 3)
F: 0.0000 0.0000 0.5000 (multiplicity 3)

Summary:
Formation energy from raw total energies   -1.59 eV per atom
Crystal system   trigonal
D(E_F)   7.56 states/eV per cell
E_tot   -5.13 eV per atom

---

6.
This record from the Alexandria database describes a geometry-optimized HoTh2F11 structure. The functional is PBE.

Cell lengths 8.585, 10.597, 11.050 Å; angles 90.00, 90.00, 90.00 degrees
Space group Ibam (No. 72)
Inequivalent atoms, fractional coordinates:
Ho: 0.000 0.000 0.250 (multiplicity 4)
Th: 0.151 0.317 0.000 (multiplicity 8)
F: 0.000 0.500 0.000 (multiplicity 4)
F: 0.092 0.169 0.143 (multiplicity 16)
F: 0.123 0.290 0.500 (multiplicity 8)
F: 0.209 0.073 0.361 (multiplicity 16)

Summary:
Formation energy from raw total energies   -4.12 eV per atom
Crystal system   orthorhombic
D(E_F)   0.00 states/eV per cell
E_tot   -6.97 eV per atom

---

7.
This record from the Alexandria database describes a geometry-optimized Ho2ThF structure. The functional is PBE.

Cell lengths 3.6025, 3.6025, 25.8201 Å; angles 90.00, 90.00, 120.00 degrees
Space group R-3m (No. 166, hexagonal axes)
Inequivalent atoms, fractional coordinates:
Ho: 0.0000 0.0000 0.2274 (multiplicity 6)
Th: 0.0000 0.0000 0.0000 (multiplicity 3)
F: 0.0000 0.0000 0.5000 (multiplicity 3)

Summary:
Formation energy from raw total energies   -1.15 eV per atom
Crystal system   trigonal
D(E_F)   11.41 states/eV per cell
E_tot   -5.76 eV per atom

---

8.
This record from the Alexandria database describes a geometry-optimized HoTi2F8 structure. The functional is PBE.

Cell lengths 10.491, 5.396, 5.272 Å; angles 90.00, 97.45, 90.00 degrees
Space group C2/m (No. 12)
Inequivalent atoms, fractional coordinates:
Ho: 0.000 0.000 0.000 (multiplicity 2)
Ti: 0.233 0.500 0.514 (multiplicity 4)
F: 0.115 0.500 0.748 (multiplicity 4)
F: 0.130 0.000 0.721 (multiplicity 4)
F: 0.137 0.240 0.256 (multiplicity 8)

Summary:
Formation energy from raw total energies   -3.36 eV per atom
Crystal system   monoclinic
D(E_F)   3.78 states/eV per cell
E_tot   -6.57 eV per atom

---

- Among the records above, which one has the lowest E_tot?
  HoTcF